[1]
The following is a DFT calculation (PBE-GGA) of an optimized crystal structure of LaZn2P. Values from VASP.

Cell and atoms, written as Quantum ESPRESSO input:
```
&SYSTEM
  ibrav = 0, nat = 4, ntyp = 3
/
ATOMIC_SPECIES
La 138.91 La.upf
Zn 65.41 Zn.upf
P 30.97 P.upf
CELL_PARAMETERS angstrom
4.166 0.000 0.000
0.000 4.166 0.000
0.000 0.000 4.955
ATOMIC_POSITIONS crystal
La 0.500 0.500 0.500
Zn 0.000 0.500 0.000
Zn 0.500 0.000 0.000
P 0.000 0.000 0.500
```

Properties
ΔE_f in eV per atom: -0.485
SG: No. 123
Total magnetic moment in μB/cell: 0.00

[2]
The following is a DFT calculation (PBE-GGA) of an optimized crystal structure of La6TcAu2I3. Values from VASP.

Cell and atoms, written as Quantum ESPRESSO input:
```
&SYSTEM
  ibrav = 0, nat = 12, ntyp = 4
/
ATOMIC_SPECIES
La 138.91 La.upf
Tc 98.00 Tc.upf
Au 196.97 Au.upf
I 126.90 I.upf
CELL_PARAMETERS angstrom
7.559 -0.002 0.001
-3.779 6.547 0.001
-1.260 -2.182 8.225
ATOMIC_POSITIONS crystal
La 0.935 0.627 0.806
La 0.756 0.756 0.195
La 0.065 0.373 0.194
La 0.627 0.935 0.806
La 0.244 0.244 0.805
La 0.373 0.065 0.194
Tc 0.000 0.000 0.000
Au 0.333 0.667 0.000
Au 0.667 0.333 0.000
I 0.166 0.834 0.500
I 0.834 0.166 0.500
I 0.500 0.500 0.500
```

Properties
SG: No. 12
Raw formation energy in meV/atom: -856
Total magnetic moment in μB/cell: 0.00

[3]
The following is a DFT calculation (PBE-GGA) of an optimized crystal structure of Zn4AgBr. Values from VASP.

Cell and atoms, written as Quantum ESPRESSO input:
```
&SYSTEM
  ibrav = 0, nat = 6, ntyp = 3
/
ATOMIC_SPECIES
Zn 65.41 Zn.upf
Ag 107.87 Ag.upf
Br 79.90 Br.upf
CELL_PARAMETERS angstrom
0.000 3.827 3.827
3.827 0.000 3.827
3.827 3.827 0.000
ATOMIC_POSITIONS crystal
Zn 0.871 0.376 0.376
Zn 0.376 0.376 0.871
Zn 0.376 0.871 0.376
Zn 0.376 0.376 0.376
Ag 0.750 0.750 0.750
Br 0.000 0.000 0.000
```

Properties
SG: No. 216
Raw formation energy in meV/atom: 207
Total magnetic moment in μB/cell: 0.00